Entry 1:
! NaIn6Pd6, relaxed, DFT PBE-GGA; values from VASP
! - N(E_F): 0.549 states/eV per atom
! - Volume: 19.54 A^3/atom
! - DFT formation energy: -464 meV per atom
! - Symmetry: No. 71
! - Calculated density: 8.83 g/cm³
&SYSTEM
  ibrav = 0, nat = 13, ntyp = 3
/
ATOMIC_SPECIES
Pd 106.42 Pd.upf
Na 22.99 Na.upf
In 114.82 In.upf
ATOMIC_POSITIONS crystal
Pd 0.0000 0.0000 0.5000
Pd 0.5000 0.7544 0.2456
Pd 0.0000 0.5000 0.0000
Pd 0.5000 0.0000 0.5000
Pd 0.5000 0.2456 0.7544
Pd 0.5000 0.5000 0.0000
Na 0.0000 0.0000 0.0000
In 0.6705 0.8295 0.8295
In 0.0000 0.3256 0.6744
In 0.6640 0.3360 0.3360
In 0.0000 0.6744 0.3256
In 0.3295 0.1705 0.1705
In 0.3360 0.6640 0.6640
CELL_PARAMETERS angstrom
5.1825 0.0000 2.2631
2.3305 6.6793 1.7287
-0.0935 -0.1790 7.2795

---

Entry 2:
! NaIn2Pd4, relaxed, DFT PBE-GGA; values from VASP
! - N(E_F): 0.397 states/eV per atom
! - Volume: 20.82 A^3/atom
! - DFT formation energy: 294 meV per atom
! - Symmetry: No. 139
! - Calculated density: 7.73 g/cm³
&SYSTEM
  ibrav = 0, nat = 7, ntyp = 3
/
ATOMIC_SPECIES
Pd 106.42 Pd.upf
Na 22.99 Na.upf
In 114.82 In.upf
ATOMIC_POSITIONS crystal
Pd 0.5000 0.0000 0.0000
Pd 0.8137 0.8137 0.3727
Pd 0.0000 0.5000 0.0000
Pd 0.1863 0.1863 0.6273
Na 0.0000 0.0000 0.0000
In 0.6242 0.6242 0.7516
In 0.3758 0.3758 0.2484
CELL_PARAMETERS angstrom
-0.7273 0.4823 -4.5304
0.9792 -4.4641 -0.6324
-6.4782 -3.5660 -1.6889